This record from Alexandria via LeMat-Bulk describes an optimized crystal structure of BeClF2. The functional is GGA-PBE.

The structure in POSCAR format:
```
BeClF2
1.0
9.5498 0.0061 0.0036
9.0434 3.0684 0.0036
9.0434 1.4954 2.6793
Be F Cl
1 2 1
direct
0.0000 0.0000 0.0000 Be
0.9513 0.9513 0.9513 F
0.0487 0.0487 0.0487 F
0.5000 0.5000 0.5000 Cl
```

Computed properties:
crystal system	trigonal
SG	R-3m (166)
ΔE_f (raw)	-1.582	eV per atom